[1]
Computed, not measured: AcCe2ThS4 after structural relaxation at the PBE level of DFT.

Output
DOS(E_F): 11.858 states/eV/f.u.
size of the total moment: 1.39 μB/f.u.
energy relative to the elements, uncorrected: -15.7 eV per formula unit

abc: 7.0917 4.0999 7.1114
angles: 90.00 109.48 90.00
With the nearest neighbours (Å) after each atom.
Space group P2/m (No. 10)
One atom of each set of equivalent atoms:
Ac  0.0000  0.0000  0.0000  6 S 2.97
Ce  0.5000  0.0000  0.5000  6 S 2.83
Ce  0.5000  0.5000  0.0000  6 S 2.90
Th  0.0000  0.5000  0.5000  6 S 2.90
S  0.2563  0.0000  0.7442  3 Ce 2.83-2.90, 2 Th 2.90, 1 Ac 2.97
S  0.2623  0.5000  0.2623  3 Ce 2.83-2.90, 1 Th 2.90, 2 Ac 2.97

---

[2]
Computed, not measured: AcCeTl2S4 after structural relaxation at the PBE level of DFT.

Output
DOS(E_F): 5.653 states/eV/f.u.
size of the total moment: 1.00 μB/f.u.
energy relative to the elements, uncorrected: -11.5 eV per formula unit

abc: 7.4946 4.3256 7.8542
angles: 90.00 108.51 90.00
With the nearest neighbours (Å) after each atom.
Space group P2/m (No. 10)
One atom of each set of equivalent atoms:
Ac  0.0000  0.0000  0.0000  6 S 2.98-2.99
Ce  0.5000  0.5000  0.0000  6 S 2.87-2.89
Tl  0.0000  0.5000  0.5000  6 S 3.36-3.37
Tl  0.5000  0.0000  0.5000  6 S 3.27-3.28
S  0.2470  0.5000  0.2084  1 Ce 2.87, 2 Ac 2.98
S  0.2759  0.0000  0.7964  2 Ce 2.89, 1 Ac 2.99

---

[3]
Computed, not measured: Ac2CeTmS6 after structural relaxation at the PBE level of DFT.

Output
DOS(E_F): 4.678 states/eV/f.u.
size of the total moment: 1.01 μB/f.u.
energy relative to the elements, uncorrected: -20.7 eV per formula unit

abc: 7.3159 7.3159 18.7412
angles: 90.00 90.00 120.00
With the nearest neighbours (Å) after each atom.
Space group R3 (No. 146, hexagonal axes)
One atom of each set of equivalent atoms:
Ac  0.0000  0.0000  0.0000  6 S 2.96-3.06
Ac  0.0000  0.0000  0.4986  6 S 2.98-3.04
Ce  0.0000  0.0000  0.2137  6 S 2.80-2.87
Tm  0.0000  0.0000  0.7114  6 S 2.69-2.74
S  0.0600  0.3478  0.7809  1 Tm 2.69, 1 Ce 2.87, 1 Ac 2.98
S  0.0659  0.6999  0.2834  1 Tm 2.74, 1 Ce 2.80, 2 Ac 2.96-3.04

---

[4]
Computed, not measured: Ac2CeTmS4 after structural relaxation at the PBE level of DFT.

Output
DOS(E_F): 7.572 states/eV/f.u.
size of the total moment: 0.80 μB/f.u.
energy relative to the elements, uncorrected: -15.8 eV per formula unit

abc: 7.0963 4.0637 7.2578
angles: 90.00 108.72 90.00
With the nearest neighbours (Å) after each atom.
Space group P2/m (No. 10)
One atom of each set of equivalent atoms:
Ac  0.0000  0.0000  0.0000  6 S 3.07
Ac  0.5000  0.5000  0.0000  6 S 3.00
Ce  0.0000  0.5000  0.5000  6 S 2.84-2.85
Tm  0.5000  0.0000  0.5000  6 S 2.76-2.77
S  0.2503  0.0000  0.7243  1 Tm 2.76, 2 Ce 2.84, 3 Ac 3.00-3.07
S  0.2691  0.5000  0.2812  2 Tm 2.77, 1 Ce 2.85, 3 Ac 3.00-3.07

---

[5]
Computed, not measured: AcCe2TmS4 after structural relaxation at the PBE level of DFT.

Output
DOS(E_F): 11.691 states/eV/f.u.
size of the total moment: 1.71 μB/f.u.
energy relative to the elements, uncorrected: -15.7 eV per formula unit

abc: 7.0269 4.0348 7.0841
angles: 90.00 109.05 90.00
With the nearest neighbours (Å) after each atom.
Space group P2/m (No. 10)
One atom of each set of equivalent atoms:
Ac  0.0000  0.0000  0.0000  6 S 2.95
Ce  0.5000  0.0000  0.5000  6 S 2.80-2.81
Ce  0.5000  0.5000  0.0000  6 S 2.96-2.97
Tm  0.0000  0.5000  0.5000  6 S 2.78-2.79
S  0.2418  0.0000  0.7298  2 Tm 2.79, 3 Ce 2.81-2.96, 1 Ac 2.95
S  0.2546  0.5000  0.2703  1 Tm 2.78, 3 Ce 2.80-2.97, 2 Ac 2.95

---

[6]
Computed, not measured: AcCeUS6 after structural relaxation at the PBE level of DFT.

Output
DOS(E_F): 6.049 states/eV/f.u.
size of the total moment: 1.06 μB/f.u.
energy relative to the elements, uncorrected: -14.7 eV per formula unit

abc: 7.0021 7.0021 12.4090
angles: 90.00 90.00 120.00
With the nearest neighbours (Å) after each atom.
Space group P-31c (No. 163)
One atom of each set of equivalent atoms:
Ac  0.0000  0.0000  0.0000  6 S 3.02
Ce  0.3333  0.6667  0.2500  6 S 2.75
U  0.3333  0.6667  0.7500  6 S 2.60
S  0.0172  0.3702  0.6324  1 U 2.60, 1 Ce 2.75

---

[7]
Computed, not measured: Ac2CeYS4 after structural relaxation at the PBE level of DFT.

Output
DOS(E_F): 7.855 states/eV/f.u.
size of the total moment: 0.84 μB/f.u.
energy relative to the elements, uncorrected: -16.0 eV per formula unit

abc: 7.1410 4.0995 7.2534
angles: 90.00 108.96 90.00
With the nearest neighbours (Å) after each atom.
Space group P2/m (No. 10)
One atom of each set of equivalent atoms:
Ac  0.0000  0.0000  0.0000  6 S 3.05
Ac  0.5000  0.5000  0.0000  6 S 3.01
Ce  0.0000  0.5000  0.5000  6 S 2.85-2.86
Y  0.5000  0.0000  0.5000  6 S 2.81
S  0.2475  0.0000  0.7273  1 Y 2.81, 2 Ce 2.85, 3 Ac 3.01-3.05
S  0.2637  0.5000  0.2760  2 Y 2.81, 1 Ce 2.86, 3 Ac 3.01-3.05

---

[8]
Computed, not measured: AcCe2YS4 after structural relaxation at the PBE level of DFT.

Output
DOS(E_F): 11.884 states/eV/f.u.
size of the total moment: 1.71 μB/f.u.
energy relative to the elements, uncorrected: -15.9 eV per formula unit

abc: 7.0632 4.0598 7.0957
angles: 90.00 109.18 90.00
With the nearest neighbours (Å) after each atom.
Space group P2/m (No. 10)
One atom of each set of equivalent atoms:
Ac  0.0000  0.0000  0.0000  6 S 2.96
Ce  0.5000  0.0000  0.5000  6 S 2.81-2.82
Ce  0.5000  0.5000  0.0000  6 S 2.94
Y  0.0000  0.5000  0.5000  6 S 2.83-2.84
S  0.2475  0.0000  0.7354  3 Ce 2.82-2.94, 2 Y 2.84, 1 Ac 2.96
S  0.2575  0.5000  0.2672  3 Ce 2.81-2.94, 1 Y 2.83, 2 Ac 2.96

---

[9]
Computed, not measured: Ac2CeYS6 after structural relaxation at the PBE level of DFT.

Output
DOS(E_F): 4.706 states/eV/f.u.
size of the total moment: 1.01 μB/f.u.
energy relative to the elements, uncorrected: -20.7 eV per formula unit

abc: 7.3446 7.3446 18.8715
angles: 90.00 90.00 120.00
With the nearest neighbours (Å) after each atom.
Space group R3 (No. 146, hexagonal axes)
One atom of each set of equivalent atoms:
Ac  0.0000  0.0000  0.0000  6 S 2.96-3.05
Ac  0.0000  0.0000  0.4989  6 S 2.98-3.04
Ce  0.0000  0.0000  0.2129  6 S 2.80-2.88
Y  0.0000  0.0000  0.7112  6 S 2.73-2.79
S  0.0588  0.3523  0.7800  1 Y 2.73, 1 Ce 2.88, 2 Ac 2.98-3.05
S  0.0625  0.6973  0.2816  1 Y 2.79, 1 Ce 2.80, 2 Ac 2.96-3.04

---

[10]
Computed, not measured: AcCeY2S4 after structural relaxation at the PBE level of DFT.

Output
DOS(E_F): 8.030 states/eV/f.u.
size of the total moment: 0.96 μB/f.u.
energy relative to the elements, uncorrected: -16.0 eV per formula unit

abc: 6.9658 4.0004 7.1219
angles: 90.00 108.88 90.00
With the nearest neighbours (Å) after each atom.
Space group P2/m (No. 10)
One atom of each set of equivalent atoms:
Ac  0.0000  0.0000  0.0000  6 S 2.97-2.98
Ce  0.5000  0.5000  0.0000  6 S 2.92
Y  0.0000  0.5000  0.5000  6 S 2.82
Y  0.5000  0.0000  0.5000  6 S 2.75-2.76
S  0.2511  0.0000  0.7325  3 Y 2.76-2.82, 2 Ce 2.92, 1 Ac 2.97
S  0.2649  0.5000  0.2737  3 Y 2.75-2.82, 1 Ce 2.92, 2 Ac 2.98

---

[11]
Computed, not measured: AcCe3Sb4 after structural relaxation at the PBE level of DFT.

Output
DOS(E_F): 20.417 states/eV/f.u.
size of the total moment: 2.55 μB/f.u.
energy relative to the elements, uncorrected: -8.5 eV per formula unit

abc: 9.1775 12.9595 4.5802
angles: 90.00 90.00 90.00
With the nearest neighbours (Å) after each atom.
Space group Cmmm (No. 65)
One atom of each set of equivalent atoms:
Ac  0.0000  0.0000  0.0000  6 Sb 3.32
Ce  0.0000  0.5000  0.0000  6 Sb 3.16
Ce  0.2500  0.2500  0.5000  6 Sb 3.24
Sb  0.0000  0.2562  0.0000  5 Ce 3.16-3.24, 1 Ac 3.32
Sb  0.2373  0.5000  0.5000  4 Ce 3.16-3.24, 2 Ac 3.32

---

[12]
Computed, not measured: AcCeSb4 after structural relaxation at the PBE level of DFT.

Output
DOS(E_F): 10.530 states/eV/f.u.
size of the total moment: 1.98 μB/f.u.
energy relative to the elements, uncorrected: -2.1 eV per formula unit

abc: 9.0261 9.0261 9.0261
angles: 90.00 90.00 90.00
With the nearest neighbours (Å) after each atom.
Space group F-43m (No. 216)
One atom of each set of equivalent atoms:
Ac  0.0000  0.0000  0.0000  12 Sb 3.74, 4 Ce 3.91
Ce  0.2500  0.2500  0.7500  12 Sb 3.74, 4 Ac 3.91
Sb  0.1246  0.1246  0.3754  6 Sb 3.18-3.20

---

[13]
Computed, not measured: AcCeSb2 after structural relaxation at the PBE level of DFT.

Output
polymorph energy (0 for the lowest one): 28 meV per atom
DOS(E_F): 6.480 states/eV/f.u.
size of the total moment: 0.82 μB/f.u.
energy relative to the elements, uncorrected: -4.4 eV per formula unit

abc: 4.6229 4.6229 15.3154
angles: 90.00 90.00 120.00
With the nearest neighbours (Å) after each atom.
Space group P6_3/mmc (No. 194)
One atom of each set of equivalent atoms:
Ac  0.3333  0.6667  0.2500  6 Sb 3.38
Ce  0.0000  0.0000  0.0000  6 Sb 3.19
Sb  0.3333  0.6667  0.6145  3 Ce 3.19, 3 Ac 3.38

---

[14]
Computed, not measured: Ac5CeSb6 after structural relaxation at the PBE level of DFT.

Output
DOS(E_F): 5.911 states/eV/f.u.
size of the total moment: 0.73 μB/f.u.
energy relative to the elements, uncorrected: -14.2 eV per formula unit

abc: 8.2369 14.2623 8.2357
angles: 90.00 109.49 90.00
With the nearest neighbours (Å) after each atom.
Space group C2/m (No. 12)
One atom of each set of equivalent atoms:
Ac  0.0000  0.0000  0.0000  6 Sb 3.36-3.45
Ac  0.0000  0.1658  0.5000  6 Sb 3.37
Ac  0.0000  0.3310  0.0000  6 Sb 3.36-3.43
Ce  0.0000  0.5000  0.5000  6 Sb 3.27
Sb  0.2412  0.5000  0.2547  1 Ce 3.27, 5 Ac 3.37-3.45
Sb  0.2427  0.3382  0.7434  1 Ce 3.27, 5 Ac 3.36-3.43

---

[15]
Computed, not measured: AcCe4Sb4 after structural relaxation at the PBE level of DFT.

Output
DOS(E_F): 29.126 states/eV/f.u.
size of the total moment: 4.62 μB/f.u.
energy relative to the elements, uncorrected: -7.4 eV per formula unit

abc: 10.1600 10.1600 6.3246
angles: 90.00 90.00 90.00
With the nearest neighbours (Å) after each atom.
Space group I4/m (No. 87)
One atom of each set of equivalent atoms:
Ac  0.0000  0.0000  0.0000  4 Sb 3.30
Ce  0.1054  0.3027  0.5000  5 Sb 3.16-3.18
Sb  0.1025  0.3086  0.0000  5 Ce 3.16-3.18, 1 Ac 3.30

---

[16]
Computed, not measured: AcCeSb2 after structural relaxation at the PBE level of DFT.

Output
polymorph energy (0 for the lowest one): 105 meV per atom
DOS(E_F): 6.438 states/eV/f.u.
size of the total moment: 0.91 μB/f.u.
energy relative to the elements, uncorrected: -4.1 eV per formula unit

abc: 4.5845 4.5845 23.8092
angles: 90.00 90.00 120.00
With the nearest neighbours (Å) after each atom.
Space group R3m (No. 160, hexagonal axes)
One atom of each set of equivalent atoms:
Ac  0.0000  0.0000  0.0000  6 Sb 3.36-3.44
Ce  0.0000  0.0000  0.1714  6 Sb 3.19-3.25
Sb  0.0000  0.0000  0.5795  3 Ce 3.19, 3 Ac 3.36
Sb  0.0000  0.0000  0.7589  3 Ce 3.25, 3 Ac 3.44

---

[17]
Computed, not measured: AcCeSb2 after structural relaxation at the PBE level of DFT.

Output
polymorph energy (0 for the lowest one): 144 meV per atom
DOS(E_F): 6.913 states/eV/f.u.
size of the total moment: 0.90 μB/f.u.
energy relative to the elements, uncorrected: -3.9 eV per formula unit

abc: 4.6005 4.6005 8.0406
angles: 90.00 90.00 120.00
With the nearest neighbours (Å) after each atom.
Space group P-3m1 (No. 164)
One atom of each set of equivalent atoms:
Ac  0.0000  0.0000  0.0000  6 Sb 3.41
Ce  0.0000  0.0000  0.5000  6 Sb 3.25
Sb  0.3333  0.6667  0.7334  3 Ce 3.25, 3 Ac 3.41

---

[18]
Computed, not measured: AcCeSb2 after structural relaxation at the PBE level of DFT.

Output
polymorph energy (0 for the lowest one): 241 meV per atom
DOS(E_F): 6.866 states/eV/f.u.
size of the total moment: 0.95 μB/f.u.
energy relative to the elements, uncorrected: -3.5 eV per formula unit

abc: 7.9628 7.9628 7.9628
angles: 90.00 90.00 90.00
With the nearest neighbours (Å) after each atom.
Space group Fm-3m (No. 225)
One atom of each set of equivalent atoms:
Ac  0.0000  0.0000  0.0000  8 Sb 3.45
Ce  0.0000  0.0000  0.5000  8 Sb 3.45
Sb  0.2500  0.2500  0.2500  4 Ce 3.45, 4 Ac 3.45

---

[19]
Computed, not measured: Ac3CeSb4 after structural relaxation at the PBE level of DFT.

Output
polymorph energy (0 for the lowest one): 0 meV per atom
DOS(E_F): 6.551 states/eV/f.u.
size of the total moment: 0.81 μB/f.u.
energy relative to the elements, uncorrected: -9.3 eV per formula unit

abc: 9.4670 13.3836 4.7348
angles: 90.00 90.00 90.00
With the nearest neighbours (Å) after each atom.
Space group Cmmm (No. 65)
One atom of each set of equivalent atoms:
Ac  0.0000  0.0000  0.0000  6 Sb 3.42-3.43
Ac  0.2500  0.2500  0.5000  6 Sb 3.35
Ce  0.0000  0.5000  0.0000  6 Sb 3.26-3.27
Sb  0.0000  0.2561  0.0000  1 Ce 3.26, 5 Ac 3.35-3.43
Sb  0.2386  0.5000  0.5000  2 Ce 3.27, 4 Ac 3.35-3.42

---

[20]
Computed, not measured: Ac3CeSb4 after structural relaxation at the PBE level of DFT.

Output
polymorph energy (0 for the lowest one): 14 meV per atom
DOS(E_F): 8.050 states/eV/f.u.
size of the total moment: 0.83 μB/f.u.
energy relative to the elements, uncorrected: -9.2 eV per formula unit

abc: 6.7040 6.7040 6.7040
angles: 90.00 90.00 90.00
With the nearest neighbours (Å) after each atom.
Space group Pm-3m (No. 221)
One atom of each set of equivalent atoms:
Ac  0.0000  0.0000  0.5000  6 Sb 3.35
Ce  0.5000  0.5000  0.5000  6 Sb 3.35
Sb  0.0000  0.0000  0.0000  6 Ac 3.35
Sb  0.0000  0.5000  0.5000  4 Ac 3.35, 2 Ce 3.35